This record from the Alexandria database describes a PBEsol-optimized structure of CaGaPb2I. The functional is SCAN.

Calculated values
Formation energy (no corrections), meV/atom: -159
Space group: P4/mmm
Density of states at the Fermi level, states/eV/atom: 0.5723
Size of the total moment, μB per formula unit: 0.0
E_tot, eV/atom: -43.02

Lattice parameters (Å, degrees): 5.364 5.364 5.949 90.00 90.00 90.00
Element x y z (fractional)
1 Pb 0.500 0.000 0.000
2 I 0.500 0.500 0.500
3 Ca 0.000 0.000 0.500
4 Pb 0.000 0.500 0.000
5 Ga 0.000 0.000 0.000

=====

This record from the Alexandria database describes a PBEsol-optimized structure of CuHg2As2. The functional is SCAN.

Calculated values
Space group: P4/mbm
Density of states at the Fermi level, states/eV/atom: 0.3416
Size of the total moment, μB per formula unit: 0.0
E_tot, eV/atom: -38.32
Calculated formation energy, eV/atom: 0.060

Lattice parameters (Å, degrees): 5.530 6.163 6.163 90.00 90.00 90.00
Element x y z (fractional)
1 Cu 0.000 0.500 0.500
2 As 0.000 0.856 0.644
3 Hg 0.500 0.822 0.678
4 Hg 0.500 0.178 0.322
5 Cu 0.000 0.000 0.000
6 As 0.000 0.356 0.856
7 Hg 0.500 0.678 0.178
8 Hg 0.500 0.322 0.822
9 As 0.000 0.644 0.144
10 As 0.000 0.144 0.356

=====

This record from the Alexandria database describes a PBEsol-optimized structure of BaYW2. The functional is SCAN.

Calculated values
Space group: Cmm2
Energy relative to the lowest polymorph listed for this composition, meV per atom: 309
Density of states at the Fermi level, states/eV/atom: 1.0989
Size of the total moment, μB per formula unit: 0.0
E_tot, eV/atom: -50.78
Calculated formation energy, eV/atom: 0.909

Lattice parameters (Å, degrees): 3.069 3.069 10.787 90.00 90.00 112.87
Element x y z (fractional)
1 Y 0.000 0.000 0.553
2 W 0.000 0.000 0.952
3 Ba 0.500 0.500 0.216
4 W 0.500 0.500 0.779

=====

This record from the Alexandria database describes a PBEsol-optimized structure of KZrNi. The functional is SCAN.

Calculated values
Space group: P3m1
Density of states at the Fermi level, states/eV/atom: 1.1613
Size of the total moment, μB per formula unit: 0.0
E_tot, eV/atom: -17.33
Calculated formation energy, eV/atom: 1.075

Lattice parameters (Å, degrees): 2.823 4.927 4.927 120.00 90.00 90.00
Element x y z (fractional)
1 Zr 0.323 0.667 0.333
2 K 0.015 0.000 0.000
3 Ni 0.662 0.333 0.667

=====

Question: Which value of size of the total moment does entry 2 give?
Answer: 0.0 μB per formula unit

=====

Question: Look up the size of the total moment of the first one.
Answer: 0.0 μB per formula unit

=====

Question: Which of these has the lowest density of states at the Fermi level?
Answer: CuHg2As2

=====

Question: Which formula does entry 2 have?
Answer: CuHg2As2